DFT (PBE) results for a relaxed Li2H3I6 crystal.

```
data_Li2H3I6
_chemical_formula_sum 'Li8 H12 I24'
_symmetry_space_group_name_H-M 'C 1 2/c 1'
_symmetry_Int_Tables_number 15
_symmetry_space_group_name_Hall '-C 2yc'
_cell_length_a 12.014
_cell_length_b 8.094
_cell_length_c 14.624
_cell_angle_alpha 90.00
_cell_angle_beta 102.92
_cell_angle_gamma 90.00
loop_
_atom_site_label
_atom_site_type_symbol
_atom_site_fract_x
_atom_site_fract_y
_atom_site_fract_z
Li1 Li 0.057 0.235 0.001
H1 H 0.000 0.460 0.250
H2 H 0.171 0.066 0.775
I1 I 0.053 0.457 0.384
I2 I 0.117 0.049 0.619
I3 I 0.216 0.046 0.896
```

Values from the calculation:
raw total energy: -2.4350 eV/atom
calculated volume: 1386.0 Å³/cell